(1)
The following is a PBE-GGA calculation of crystalline Hf2ZrTi2 at its relaxed geometry, from the Alexandria database.

Values from the calculation:
**E_form**: 0.2845 eV per atom
**SG**: No. 12
**Crystal system**: monoclinic

```
data_Hf2ZrTi2
_symmetry_space_group_name_H-M 'P 1'
_symmetry_Int_Tables_number 1
_symmetry_space_group_name_Hall 'P 1'
_cell_length_a 4.861
_cell_length_b 4.861
_cell_length_c 4.737
_cell_angle_alpha 101.98
_cell_angle_beta 101.98
_cell_angle_gamma 78.22
loop_
_atom_site_label
_atom_site_fract_x
_atom_site_fract_y
_atom_site_fract_z
Hf1 0.000 0.500 0.500
Hf2 0.500 0.000 0.500
Ti1 0.392 0.392 0.117
Ti2 0.608 0.608 0.883
Zr1 0.000 0.000 0.000
```

***

(2)
The following is a PBE-GGA calculation of crystalline MgIn2 at its relaxed geometry, from the Alexandria database.

Values from the calculation:
**E_form**: -0.0185 eV per atom
**SG**: No. 189
**Crystal system**: hexagonal

```
data_MgIn2
_symmetry_space_group_name_H-M 'P 1'
_symmetry_Int_Tables_number 1
_symmetry_space_group_name_Hall 'P 1'
_cell_length_a 8.560
_cell_length_b 8.559
_cell_length_c 3.607
_cell_angle_alpha 90.00
_cell_angle_beta 90.00
_cell_angle_gamma 120.01
loop_
_atom_site_label
_atom_site_fract_x
_atom_site_fract_y
_atom_site_fract_z
In1 0.000 0.372 0.000
In2 0.372 0.000 0.000
In3 0.708 0.000 0.500
In4 0.000 0.709 0.500
In5 0.628 0.628 0.000
In6 0.292 0.291 0.500
Mg1 0.333 0.666 0.500
Mg2 0.667 0.334 0.500
Mg3 0.000 0.000 0.000
```

***

(3)
The following is a PBE-GGA calculation of crystalline EuB6N6 at its relaxed geometry, from the Alexandria database.

Values from the calculation:
**SG**: No. 200
**Crystal system**: cubic
**Energy relative to the elements, uncorrected**: -0.273 eV per atom

```
data_EuB6N6
_symmetry_space_group_name_H-M 'P 1'
_symmetry_Int_Tables_number 1
_symmetry_space_group_name_Hall 'P 1'
_cell_length_a 4.656
_cell_length_b 4.656
_cell_length_c 4.656
_cell_angle_alpha 90.00
_cell_angle_beta 90.00
_cell_angle_gamma 90.00
loop_
_atom_site_label
_atom_site_fract_x
_atom_site_fract_y
_atom_site_fract_z
N1 0.500 0.000 0.750
N2 0.500 0.000 0.250
N3 0.250 0.500 0.000
N4 0.000 0.750 0.500
N5 0.750 0.500 0.000
N6 0.000 0.250 0.500
B1 0.500 0.743 0.000
B2 0.743 0.000 0.500
B3 0.500 0.257 0.000
B4 0.257 0.000 0.500
B5 0.000 0.500 0.743
B6 0.000 0.500 0.257
Eu1 0.500 0.500 0.500
```